Li3Nd2ZnCu12 (PBE, optimized geometry); formation energy from the elements = 0.040 eV per atom; symmetry = R-3m (166); size of the total moment = 0.000 μB/atom
1.0
4.346 2.509 4.200
-4.346 2.509 4.200
0.000 -5.018 4.200
Li Nd Zn Cu
3 2 1 12
Cartesian
-2.173 -1.255 4.200
-2.173 1.254 8.401
0.000 2.509 4.200
0.000 0.000 2.767
0.000 0.000 9.834
0.000 0.000 6.301
0.000 -2.895 3.368
-2.507 1.447 3.368
-2.023 -1.168 6.875
0.000 -2.336 5.727
-2.023 1.168 5.727
-2.507 -1.447 9.233
2.507 1.447 3.368
2.023 -1.168 6.875
0.000 2.336 6.875
2.023 1.168 5.727
2.507 -1.447 9.233
0.000 2.895 9.233